Record 1
{"formula": "BeCr2Ag", "functional": "GGA-PBE", "state": "optimized geometry", "magnetic_moment_mub_per_cell": 0.0, "e_form_ev_per_atom": 0.350, "lattice": [[3.498, 0.000, 0.000], [0.000, 3.485, 0.000], [0.000, 0.000, 4.251]], "species": ["Cr", "Cr", "Ag", "Be"], "fractional_positions": [[0.000, 0.000, 0.000], [0.500, 0.500, 0.000], [0.500, 0.000, 0.500], [0.000, 0.500, 0.500]]}

=====

Record 2
{"formula": "Hg4AsBr2", "functional": "GGA-PBE", "state": "optimized geometry", "raw_formation_energy_kj_per_mol_atoms": -13.51, "magnetic_moment_mub_per_cell": 0.0, "lattice": [[-2.405, 3.088, -3.780], [-4.453, -3.115, 0.288], [-6.242, 4.516, 3.745]], "species": ["As", "Hg", "Hg", "Hg", "Hg", "Br", "Br"], "fractional_positions": [[0.000, 0.000, 0.000], [0.820, 0.820, 0.360], [0.180, 0.180, 0.640], [0.000, 0.500, 0.000], [0.500, 0.000, 0.000], [0.636, 0.636, 0.728], [0.364, 0.364, 0.272]]}

=====

Record 3
{"formula": "TaInAu2", "functional": "GGA-PBE", "state": "optimized geometry", "magnetic_moment_mub_per_cell": 0.0, "e_form_ev_per_atom": 0.177, "lattice": [[3.161, 0.000, 0.000], [0.000, 4.938, 0.000], [0.000, 0.000, 4.881]], "species": ["Au", "Au", "In", "Ta"], "fractional_positions": [[0.000, 0.000, 0.000], [0.500, 0.500, 0.000], [0.500, 0.000, 0.500], [0.000, 0.500, 0.500]]}

=====

Record 4
{"formula": "Mg6GaHg12", "functional": "GGA-PBE", "state": "optimized geometry", "magnetic_moment_mub_per_cell": 0.0, "e_form_ev_per_atom": -0.088, "lattice": [[7.444, 1.164, -1.062], [-1.369, 7.409, -1.062], [0.825, 1.164, 7.474]], "species": ["Mg", "Mg", "Mg", "Mg", "Mg", "Mg", "Ga", "Hg", "Hg", "Hg", "Hg", "Hg", "Hg", "Hg", "Hg", "Hg", "Hg", "Hg", "Hg"], "fractional_positions": [[0.119, 0.293, 0.731], [0.707, 0.269, 0.881], [0.269, 0.881, 0.707], [0.881, 0.707, 0.269], [0.293, 0.731, 0.119], [0.731, 0.119, 0.293], [0.000, 0.000, 0.000], [0.450, 0.202, 0.549], [0.202, 0.549, 0.450], [0.549, 0.450, 0.202], [0.550, 0.798, 0.451], [0.798, 0.451, 0.550], [0.451, 0.550, 0.798], [0.860, 0.994, 0.640], [0.360, 0.140, 0.006], [0.006, 0.360, 0.140], [0.140, 0.006, 0.360], [0.640, 0.860, 0.994], [0.994, 0.640, 0.860]]}

=====

Record 5
{"formula": "KTc2Ir", "functional": "GGA-PBE", "state": "optimized geometry", "magnetic_moment_mub_per_cell": 0.0, "e_form_ev_per_atom": 1.275, "lattice": [[4.549, 0.000, 0.000], [2.275, 3.940, 0.000], [2.275, 1.313, 3.715]], "species": ["Ir", "K", "Tc", "Tc"], "fractional_positions": [[0.500, 0.500, 0.500], [0.750, 0.750, 0.750], [0.000, 0.000, 0.000], [0.250, 0.250, 0.250]]}

=====

Record 6
{"formula": "CrCoCu", "functional": "GGA-PBE", "state": "optimized geometry", "magnetic_moment_mub_per_cell": 1.8, "e_form_ev_per_atom": 0.632, "lattice": [[3.862, 0.000, 0.000], [1.931, 3.345, 0.000], [1.931, 1.115, 3.153]], "species": ["Co", "Cr", "Cu"], "fractional_positions": [[0.750, 0.750, 0.750], [0.000, 0.000, 0.000], [0.500, 0.500, 0.500]]}

=====

Record 7
{"formula": "HgPdOF2", "functional": "GGA-PBE", "state": "optimized geometry", "raw_formation_energy_kj_per_mol_atoms": -13.95, "magnetic_moment_mub_per_cell": 1.4, "lattice": [[4.460, 0.000, 0.000], [0.000, 4.460, 0.000], [0.000, 0.000, 4.221]], "species": ["O", "Hg", "Pd", "F", "F"], "fractional_positions": [[0.000, 0.000, 0.500], [0.000, 0.000, 0.000], [0.500, 0.500, 0.500], [0.000, 0.500, 0.000], [0.500, 0.000, 0.000]]}

=====

Record 8
{"formula": "In3SeS3", "functional": "GGA-PBE", "state": "optimized geometry", "raw_formation_energy_kj_per_mol_atoms": -46.99, "magnetic_moment_mub_per_cell": 0.0, "lattice": [[8.989, 0.000, -3.178], [-4.494, 7.784, -3.178], [0.000, 0.000, 9.534]], "species": ["In", "In", "In", "In", "In", "In", "In", "In", "In", "In", "In", "In", "Se", "Se", "Se", "Se", "S", "S", "S", "S", "S", "S", "S", "S", "S", "S", "S", "S"], "fractional_positions": [[0.245, 0.750, 0.245], [0.755, 0.506, 0.000], [0.494, 0.494, 0.250], [0.506, 0.000, 0.755], [0.494, 0.250, 0.494], [0.506, 0.755, 0.000], [0.000, 0.755, 0.506], [0.250, 0.494, 0.494], [0.750, 0.245, 0.245], [0.245, 0.245, 0.750], [0.755, 0.000, 0.506], [0.000, 0.506, 0.755], [0.000, 0.754, 0.000], [0.246, 0.246, 0.246], [0.754, 0.000, 0.000], [0.000, 0.000, 0.754], [0.489, 0.749, 0.489], [0.511, 0.260, 0.000], [0.000, 0.511, 0.260], [0.260, 0.000, 0.511], [0.740, 0.740, 0.251], [0.740, 0.251, 0.740], [0.260, 0.511, 0.000], [0.511, 0.000, 0.260], [0.489, 0.489, 0.749], [0.000, 0.260, 0.511], [0.251, 0.740, 0.740], [0.749, 0.489, 0.489]]}

=====

Record 9
{"formula": "Tc2PbO7", "functional": "GGA-PBE", "state": "optimized geometry", "raw_formation_energy_kj_per_mol_atoms": -109.71, "magnetic_moment_mub_per_cell": 1.1, "lattice": [[-1.269, -1.567, -3.284], [6.578, -2.845, -1.185], [-3.330, -5.232, 3.783]], "species": ["Tc", "Tc", "Pb", "O", "O", "O", "O", "O", "O", "O"], "fractional_positions": [[0.500, 0.293, 0.293], [0.500, 0.707, 0.707], [0.000, 0.000, 0.000], [0.000, 0.298, 0.298], [0.000, 0.702, 0.702], [0.500, 0.047, 0.291], [0.500, 0.953, 0.709], [0.500, 0.709, 0.953], [0.500, 0.291, 0.047], [0.500, 0.500, 0.500]]}

=====

Record 10
{"formula": "Dy2Cu3SiNi12", "functional": "GGA-PBE", "state": "optimized geometry", "raw_formation_energy_kj_per_mol_atoms": 10.58, "magnetic_moment_mub_per_cell": 0.0, "lattice": [[-2.265, 8.489, 2.194], [-6.996, 5.749, -0.120], [-5.425, 4.712, 5.511]], "species": ["Dy", "Dy", "Cu", "Cu", "Cu", "Si", "Ni", "Ni", "Ni", "Ni", "Ni", "Ni", "Ni", "Ni", "Ni", "Ni", "Ni", "Ni"], "fractional_positions": [[0.651, 0.651, 0.651], [0.349, 0.349, 0.349], [0.500, 0.000, 0.000], [0.000, 0.500, 0.000], [0.000, 0.000, 0.500], [0.000, 0.000, 0.000], [0.422, 0.422, 0.812], [0.924, 0.924, 0.354], [0.354, 0.924, 0.924], [0.812, 0.422, 0.422], [0.924, 0.354, 0.924], [0.422, 0.812, 0.422], [0.578, 0.578, 0.188], [0.076, 0.076, 0.646], [0.646, 0.076, 0.076], [0.188, 0.578, 0.578], [0.076, 0.646, 0.076], [0.578, 0.188, 0.578]]}

=====

Record 11
{"formula": "CeCuRu2", "functional": "GGA-PBE", "state": "optimized geometry", "magnetic_moment_mub_per_cell": 0.0, "e_form_ev_per_atom": -0.146, "lattice": [[-1.965, 3.742, -1.734], [-3.661, 1.813, 2.044], [0.759, 4.382, 2.579]], "species": ["Ru", "Ru", "Cu", "Ce"], "fractional_positions": [[0.823, 0.823, 0.532], [0.177, 0.177, 0.468], [0.500, 0.500, 0.500], [0.000, 0.000, 0.000]]}

=====

Record 12
{"formula": "CoRuSe2", "functional": "GGA-PBE", "state": "optimized geometry", "raw_formation_energy_kj_per_mol_atoms": 26.79, "magnetic_moment_mub_per_cell": 0.7, "lattice": [[6.495, 0.212, 0.003], [4.294, 4.877, -0.003], [-5.026, -3.326, 2.430]], "species": ["Co", "Ru", "Se", "Se"], "fractional_positions": [[0.564, 0.564, 0.000], [0.189, 0.689, 0.500], [0.018, 0.018, 0.000], [0.729, 0.229, 0.500]]}

=====

Record 13
{"formula": "Fe2Rh", "functional": "GGA-PBE", "state": "optimized geometry", "magnetic_moment_mub_per_cell": 13.0, "e_form_ev_per_atom": 0.029, "lattice": [[-0.591, 1.171, 2.276], [2.543, -3.893, 1.560], [6.046, 1.983, -0.521]], "species": ["Fe", "Fe", "Fe", "Fe", "Rh", "Rh"], "fractional_positions": [[0.989, 0.010, 0.003], [0.821, 0.169, 0.331], [0.679, 0.331, 0.669], [0.511, 0.490, 0.997], [0.352, 0.662, 0.325], [0.148, 0.838, 0.675]]}

=====

Record 14
{"formula": "Pu3TcPb", "functional": "GGA-PBE", "state": "optimized geometry", "magnetic_moment_mub_per_cell": 31.8, "e_form_ev_per_atom": 0.010, "lattice": [[3.259, 0.000, 0.001], [0.000, 7.983, 0.000], [-0.002, 0.000, 9.518]], "species": ["Pu", "Pu", "Pu", "Pu", "Pu", "Pu", "Tc", "Tc", "Pb", "Pb"], "fractional_positions": [[0.091, 0.908, 0.600], [0.091, 0.317, 0.676], [0.091, 0.317, 0.100], [0.091, 0.667, 0.888], [0.091, 0.908, 0.176], [0.091, 0.558, 0.388], [0.591, 0.612, 0.138], [0.591, 0.612, 0.638], [0.591, 0.049, 0.888], [0.591, 0.175, 0.388]]}

=====

Record 15
{"formula": "LiY2Ga", "functional": "GGA-PBE", "state": "optimized geometry", "magnetic_moment_mub_per_cell": 0.0, "e_form_ev_per_atom": 0.239, "lattice": [[-4.220, -1.780, -0.185], [1.721, -3.906, -1.672], [-0.131, -6.505, 8.774]], "species": ["Y", "Y", "Y", "Y", "Ga", "Ga", "Li", "Li"], "fractional_positions": [[0.642, 0.125, 0.250], [0.108, 0.625, 0.250], [0.375, 0.358, 0.750], [0.875, 0.892, 0.750], [0.000, 0.000, 0.000], [0.750, 0.250, 0.500], [0.500, 0.500, 0.000], [0.250, 0.750, 0.500]]}

=====

Record 16
{"formula": "HoZnIn", "functional": "GGA-PBE", "state": "optimized geometry", "magnetic_moment_mub_per_cell": 0.0, "e_form_ev_per_atom": -0.175, "lattice": [[4.091, 0.802, 0.986], [0.098, 4.167, 0.986], [0.098, 0.117, 4.281]], "species": ["In", "Ho", "Zn"], "fractional_positions": [[0.473, 0.473, 0.473], [0.087, 0.087, 0.087], [0.770, 0.770, 0.770]]}

=====

Record 17
{"formula": "LiHfAl", "functional": "GGA-PBE", "state": "optimized geometry", "magnetic_moment_mub_per_cell": 0.0, "e_form_ev_per_atom": -0.040, "lattice": [[0.344, 4.211, 2.263], [-2.691, -3.505, 1.856], [4.422, -1.889, 2.843]], "species": ["Hf", "Hf", "Al", "Al", "Li", "Li"], "fractional_positions": [[0.333, 0.667, 0.250], [0.667, 0.333, 0.750], [0.333, 0.667, 0.750], [0.667, 0.333, 0.250], [0.000, 0.000, 0.000], [0.000, 0.000, 0.500]]}

=====

Record 18
{"formula": "Hf2InAgHg", "functional": "GGA-PBE", "state": "optimized geometry", "magnetic_moment_mub_per_cell": 0.0, "e_form_ev_per_atom": 0.831, "lattice": [[-4.666, -1.118, 1.838], [2.053, -1.185, 4.490], [-0.560, 4.869, 1.541]], "species": ["Hf", "Hf", "Hg", "Ag", "In"], "fractional_positions": [[0.000, 0.000, 0.500], [0.500, 0.000, 0.000], [0.000, 0.500, 0.000], [0.000, 0.000, 0.000], [0.500, 0.500, 0.500]]}

=====

Record 19
{"formula": "Rb3Pu2PaTe6", "functional": "GGA-PBE", "state": "optimized geometry", "raw_formation_energy_kj_per_mol_atoms": -103.91, "magnetic_moment_mub_per_cell": 12.0, "lattice": [[7.949, -0.001, 0.000], [-3.973, 6.884, 0.000], [-1.326, -2.295, 8.554]], "species": ["Rb", "Rb", "Rb", "Pu", "Pu", "Pa", "Te", "Te", "Te", "Te", "Te", "Te"], "fractional_positions": [[0.169, 0.831, 0.500], [0.831, 0.169, 0.500], [0.500, 0.500, 0.500], [0.334, 0.666, 0.000], [0.666, 0.334, 0.000], [0.000, 0.000, 0.000], [0.933, 0.608, 0.799], [0.743, 0.743, 0.202], [0.067, 0.392, 0.201], [0.608, 0.933, 0.799], [0.257, 0.257, 0.798], [0.392, 0.067, 0.201]]}

=====

Record 20
{"formula": "HfH2PtN", "functional": "GGA-PBE", "state": "optimized geometry", "magnetic_moment_mub_per_cell": 0.0, "energy_ev_per_atom": -6.64, "lattice": [[3.201, 0.000, 0.000], [0.000, 5.758, 0.000], [0.000, 0.000, 3.201]], "species": ["H", "H", "Hf", "Pt", "N"], "fractional_positions": [[0.000, 0.000, 0.500], [0.500, 0.000, 0.000], [0.000, 0.500, 0.000], [0.000, 0.000, 0.000], [0.500, 0.500, 0.500]]}